(1)
First-principles (PBE) data for CrHgGe after structural relaxation, as listed in the Alexandria database.

D(E_F): 1.9 states/eV/f.u.
Total magnetic moment: 2.17 μB/f.u.
Energy above the most stable polymorph in this dataset: 46 meV/atom
Total DFT energy (no corrections): -13.853 eV/cell
Energy of formation: 230 meV per atom

Unit cell a=4.108 b=4.939 c=2.883 alpha=90.00 beta=90.00 gamma=90.00
Site moments in Bohr magnetons follow the coordinates.
Fractional coordinates of all 3 atoms:
Cr: 0.500 0.500 0.000  2.32
Ge: 0.000 0.500 0.500  -0.15
Hg: 0.500 0.000 0.500  -0.04

=====

(2)
First-principles (PBE) data for PmZn2Au8 after structural relaxation, as listed in the Alexandria database.

D(E_F): 2.4 states/eV/f.u.
Total magnetic moment: 0.00 μB/f.u.
Energy above the most stable polymorph in this dataset: 0 meV/atom
Total DFT energy (no corrections): -37.006 eV/cell
Energy of formation: -317 meV per atom

Unit cell a=4.317 b=7.395 c=7.458 alpha=113.28 beta=106.83 gamma=90.00
Fractional coordinates of all 11 atoms:
Pm: 0.500 0.000 0.000
Zn: 0.226 0.691 0.451
Zn: 0.774 0.309 0.549
Au: 0.600 0.471 0.200
Au: 0.312 0.102 0.625
Au: 0.159 0.280 0.318
Au: 0.044 0.731 0.089
Au: 0.841 0.720 0.682
Au: 0.688 0.898 0.375
Au: 0.400 0.529 0.800
Au: 0.956 0.269 0.911

=====

(3)
First-principles (PBE) data for TeRu2Pt after structural relaxation, as listed in the Alexandria database.

D(E_F): 6.3 states/eV/f.u.
Total magnetic moment: 0.00 μB/f.u.
Total DFT energy (no corrections): -25.939 eV/cell
Raw formation energy: 0.45 eV/atom

Unit cell a=8.513 b=8.513 c=8.513 alpha=20.53 beta=20.53 gamma=20.53
Fractional coordinates of all 4 atoms:
Pt: 0.750 0.750 0.750
Ru: 0.996 0.996 0.996
Ru: 0.504 0.504 0.504
Te: 0.250 0.250 0.250